Density functional theory data (PBE-GGA) for OsAuBr after structural relaxation.

Structure (POSCAR):
```
OsAuBr
1.0
-4.274 0.235 -1.219
-1.340 -1.903 -3.794
-2.551 -3.645 0.119
Os Au Br
1 1 1
direct
0.250 0.250 0.250
0.000 0.000 0.000
0.500 0.500 0.500
```

Properties
Space-group type: No. 216
Raw total energy, eV/atom: -4.11
ΔE to the lowest computed polymorph, eV/atom: 0.453
ΔE_f (raw), eV/atom: 1.29